(1)
Compound: ZrAl3H
Source: Alexandria
Functional: GGA-PBE
Structure: relaxed

Unit cell a=4.1348 b=4.1348 c=4.1348 alpha=90.00 beta=90.00 gamma=90.00
Sites, in units of the cell vectors:
Zr 0.0000 0.0000 0.0000
Al 0.0000 0.5000 0.5000
Al 0.5000 0.0000 0.5000
Al 0.5000 0.5000 0.0000
H 0.5000 0.5000 0.5000

ΔE to the lowest computed polymorph ... 0 meV/atom
E ... -4.920 eV per atom
Fermi-level density of states ... 0.543 states/eV per cell

(2)
Compound: Zr6Al2H
Source: Alexandria
Functional: GGA-PBE
Structure: relaxed

Unit cell a=6.0006 b=6.0612 c=11.3139 alpha=90.00 beta=121.52 gamma=90.00
Sites, in units of the cell vectors:
Zr 0.1009 0.2355 0.4746
Zr 0.1009 0.2645 0.9746
Zr 0.3361 0.7011 0.4753
Zr 0.3361 0.7989 0.9753
Zr 0.3785 0.5075 0.7534
Zr 0.3785 0.9925 0.2534
Zr 0.6215 0.0075 0.7466
Zr 0.6215 0.4925 0.2466
Zr 0.6639 0.2011 0.0247
Zr 0.6639 0.2989 0.5247
Zr 0.8991 0.7355 0.0254
Zr 0.8991 0.7645 0.5254
Al 0.1398 0.0841 0.7443
Al 0.1398 0.4159 0.2443
Al 0.8602 0.5841 0.7557
Al 0.8602 0.9159 0.2557
H 0.5000 0.0000 0.5000
H 0.5000 0.5000 0.0000

E ... -7.125 eV per atom
Fermi-level density of states ... 18.709 states/eV per cell

(3)
Compound: ZrAlH3
Source: Alexandria
Functional: GGA-PBE
Structure: relaxed

Unit cell a=3.7938 b=3.7938 c=3.7938 alpha=90.00 beta=90.00 gamma=90.00
Sites, in units of the cell vectors:
Zr 0.0000 0.0000 0.0000
Al 0.5000 0.5000 0.5000
H 0.0000 0.0000 0.5000
H 0.0000 0.5000 0.0000
H 0.5000 0.0000 0.0000

E ... -4.423 eV per atom
Fermi-level density of states ... 1.909 states/eV per cell

(4)
Compound: ZrAl2H2
Source: Alexandria
Functional: GGA-PBE
Structure: relaxed

Unit cell a=5.5985 b=5.5985 c=4.0353 alpha=90.00 beta=90.00 gamma=90.00
Sites, in units of the cell vectors:
Zr 0.0000 0.0000 0.0000
Zr 0.5000 0.5000 0.0000
Al 0.1850 0.3150 0.5000
Al 0.3150 0.8150 0.5000
Al 0.6850 0.1850 0.5000
Al 0.8150 0.6850 0.5000
H 0.1719 0.3281 0.0000
H 0.3281 0.8281 0.0000
H 0.6719 0.1719 0.0000
H 0.8281 0.6719 0.0000

E ... -4.700 eV per atom
Fermi-level density of states ... 1.789 states/eV per cell

(5)
Compound: ZrAl3H
Source: Alexandria
Functional: GGA-PBE
Structure: relaxed

Unit cell a=5.4175 b=5.4175 c=5.4175 alpha=90.00 beta=90.00 gamma=90.00
Sites, in units of the cell vectors:
Zr 0.0000 0.0000 0.0000
Al 0.0000 0.0000 0.5000
Al 0.0000 0.5000 0.0000
Al 0.5000 0.0000 0.0000
H 0.5000 0.5000 0.5000

ΔE to the lowest computed polymorph ... 1726 meV/atom
E ... -3.194 eV per atom
Fermi-level density of states ... 5.810 states/eV per cell

(6)
Compound: ZrAlH
Source: Alexandria
Functional: GGA-PBE
Structure: relaxed

Unit cell a=7.1753 b=3.9612 c=5.6386 alpha=90.00 beta=90.00 gamma=90.00
Sites, in units of the cell vectors:
Zr 0.1704 0.2500 0.1198
Zr 0.3296 0.7500 0.6198
Zr 0.6704 0.2500 0.3802
Zr 0.8296 0.7500 0.8802
Al 0.0396 0.2500 0.6296
Al 0.4604 0.7500 0.1296
Al 0.5396 0.2500 0.8704
Al 0.9604 0.7500 0.3704
H 0.1215 0.7500 0.9615
H 0.3785 0.2500 0.4615
H 0.6215 0.7500 0.5385
H 0.8785 0.2500 0.0385

ΔE to the lowest computed polymorph ... 0 meV/atom
E ... -5.691 eV per atom
Fermi-level density of states ... 0.538 states/eV per cell

(7)
Compound: ZrAlH
Source: Alexandria
Functional: GGA-PBE
Structure: relaxed

Unit cell a=3.2198 b=3.2198 c=8.0312 alpha=90.00 beta=90.00 gamma=94.20
Sites, in units of the cell vectors:
Zr 0.2500 0.7500 0.8289
Zr 0.7500 0.2500 0.1711
Al 0.2500 0.7500 0.4013
Al 0.7500 0.2500 0.5987
H 0.2500 0.2500 0.0000
H 0.7500 0.7500 0.0000

ΔE to the lowest computed polymorph ... 69 meV/atom
E ... -5.622 eV per atom
Fermi-level density of states ... 3.137 states/eV per cell

(8)
Compound: Zr2Al2H
Source: Alexandria
Functional: GGA-PBE
Structure: relaxed

Unit cell a=5.9671 b=5.9671 c=4.9129 alpha=90.00 beta=90.00 gamma=90.00
Sites, in units of the cell vectors:
Zr 0.1674 0.3326 0.0000
Zr 0.3326 0.8326 0.0000
Zr 0.6674 0.1674 0.0000
Zr 0.8326 0.6674 0.0000
Al 0.1567 0.6567 0.5000
Al 0.3433 0.1567 0.5000
Al 0.6567 0.8433 0.5000
Al 0.8433 0.3433 0.5000
H 0.0000 0.0000 0.0000
H 0.5000 0.5000 0.0000

E ... -5.771 eV per atom
Fermi-level density of states ... 4.007 states/eV per cell

(9)
Compound: ZrAlH
Source: Alexandria
Functional: GGA-PBE
Structure: relaxed

Unit cell a=11.6244 b=11.6244 c=5.3138 alpha=90.00 beta=90.00 gamma=92.26
Sites, in units of the cell vectors:
Zr 0.0507 0.1465 0.7457
Zr 0.0651 0.7454 0.7523
Zr 0.1465 0.0507 0.2457
Zr 0.2454 0.5651 0.7477
Zr 0.2546 0.9349 0.7477
Zr 0.3535 0.4493 0.2457
Zr 0.4349 0.7546 0.7523
Zr 0.4493 0.3535 0.7457
Zr 0.5507 0.6465 0.2543
Zr 0.5651 0.2454 0.2477
Zr 0.6465 0.5507 0.7543
Zr 0.7454 0.0651 0.2523
Zr 0.7546 0.4349 0.2523
Zr 0.8535 0.9493 0.7543
Zr 0.9349 0.2546 0.2477
Zr 0.9493 0.8535 0.2543
Al 0.0966 0.5966 0.2500
Al 0.1255 0.3692 0.4995
Al 0.1308 0.3745 0.9995
Al 0.1765 0.8235 0.2500
Al 0.3235 0.6765 0.2500
Al 0.3692 0.1255 0.9995
Al 0.3745 0.1308 0.4995
Al 0.4034 0.9034 0.2500
Al 0.5966 0.0966 0.7500
Al 0.6255 0.8692 0.5005
Al 0.6308 0.8745 0.0005
Al 0.6765 0.3235 0.7500
Al 0.8235 0.1765 0.7500
Al 0.8692 0.6255 0.0005
Al 0.8745 0.6308 0.5005
Al 0.9034 0.4034 0.7500
H 0.0000 0.0000 0.0000
H 0.0000 0.0000 0.5000
H 0.0888 0.2044 0.0921
H 0.2044 0.0888 0.5921
H 0.2500 0.7500 0.5859
H 0.2500 0.7500 0.9141
H 0.2956 0.4112 0.5921
H 0.4112 0.2956 0.0921
H 0.5000 0.5000 0.0000
H 0.5000 0.5000 0.5000
H 0.5888 0.7044 0.9079
H 0.7044 0.5888 0.4079
H 0.7500 0.2500 0.0859
H 0.7500 0.2500 0.4141
H 0.7956 0.9112 0.4079
H 0.9112 0.7956 0.9079

ΔE to the lowest computed polymorph ... 418 meV/atom
E ... -5.273 eV per atom
Fermi-level density of states ... 27.025 states/eV per cell

(10)
Compound: ZrAlH
Source: Alexandria
Functional: GGA-PBE
Structure: relaxed

Unit cell a=4.1343 b=4.1343 c=5.7406 alpha=90.00 beta=90.00 gamma=116.48
Sites, in units of the cell vectors:
Zr 0.1503 0.8497 0.7500
Zr 0.8497 0.1503 0.2500
Al 0.5000 0.5000 0.0000
Al 0.5000 0.5000 0.5000
H 0.3029 0.6971 0.2500
H 0.6971 0.3029 0.7500

ΔE to the lowest computed polymorph ... 373 meV/atom
E ... -5.318 eV per atom
Fermi-level density of states ... 0.952 states/eV per cell

(11)
Compound: ZrAlH2
Source: Alexandria
Functional: GGA-PBE
Structure: relaxed

Unit cell a=5.7159 b=5.7159 c=5.7159 alpha=135.22 beta=135.22 gamma=65.20
Sites, in units of the cell vectors:
Zr 0.0000 0.0000 0.0000
Zr 0.7500 0.2500 0.5000
Al 0.2500 0.7500 0.5000
Al 0.5000 0.5000 0.0000
H 0.1314 0.6250 0.0064
H 0.3750 0.3814 0.5064
H 0.6186 0.1250 0.9936
H 0.8750 0.8686 0.4936

ΔE to the lowest computed polymorph ... 0 meV/atom
E ... -4.877 eV per atom
Fermi-level density of states ... 2.986 states/eV per cell

(12)
Compound: HfAl
Source: Alexandria
Functional: GGA-PBE
Structure: relaxed

Unit cell a=7.6665 b=7.6665 c=7.6665 alpha=90.00 beta=90.00 gamma=90.00
Sites, in units of the cell vectors:
Hf 0.0000 0.2500 0.5000
Hf 0.0000 0.7500 0.5000
Hf 0.2500 0.5000 0.0000
Hf 0.5000 0.0000 0.2500
Hf 0.5000 0.0000 0.7500
Hf 0.7500 0.5000 0.0000
Al 0.0000 0.5000 0.2500
Al 0.0000 0.5000 0.7500
Al 0.2500 0.0000 0.5000
Al 0.5000 0.2500 0.0000
Al 0.5000 0.7500 0.0000
Al 0.7500 0.0000 0.5000

E ... -5.308 eV per atom
DFT formation energy ... 1540 meV per atom
Fermi-level density of states ... 9.181 states/eV per cell